(1)
## MoSI2 (PBE-GGA)

Data for an optimized crystal structure of MoSI2.

a b c (Å): 5.0528 5.0528 5.0528
angles (deg): 60.00 60.00 60.00
Fractional positions:
Mo (0.0000, 0.0000, 0.0000)
S (0.5000, 0.5000, 0.5000)
I (0.2500, 0.2500, 0.2500)
I (0.7500, 0.7500, 0.7500)

## Properties
The calculation puts the formation energy from raw total energies at 949 meV/atom. The total energy is -3.565 eV per atom.

(2)
## HS2I (PBE-GGA)

Data for an optimized crystal structure of HS2I.

a b c (Å): 7.3307 7.3307 7.3307
angles (deg): 28.56 28.56 28.56
Fractional positions:
H (0.0000, 0.0000, 0.0000)
S (0.3785, 0.3785, 0.3785)
S (0.6215, 0.6215, 0.6215)
I (0.5000, 0.5000, 0.5000)

## Properties
The total energy is -2.355 eV per atom.

(3)
## Mg5Ge2N6 (PBE-GGA)

Data for an optimized crystal structure of Mg5Ge2N6.

a b c (Å): 5.5317 5.5317 13.1936
angles (deg): 91.33 91.33 58.72
Fractional positions:
Mg (0.0935, 0.9065, 0.7500)
Mg (0.1044, 0.6525, 0.9413)
Mg (0.2865, 0.4267, 0.2711)
Mg (0.3475, 0.8956, 0.5587)
Mg (0.4267, 0.2865, 0.7711)
Mg (0.5733, 0.7135, 0.2289)
Mg (0.6525, 0.1044, 0.4413)
Mg (0.7135, 0.5733, 0.7289)
Mg (0.8956, 0.3475, 0.0587)
Mg (0.9065, 0.0935, 0.2500)
Ge (0.1345, 0.4659, 0.5879)
Ge (0.4659, 0.1345, 0.0879)
Ge (0.5341, 0.8655, 0.9121)
Ge (0.8655, 0.5341, 0.4121)
N (0.1173, 0.2343, 0.6871)
N (0.2221, 0.2417, 0.4628)
N (0.2343, 0.1173, 0.1871)
N (0.2417, 0.2221, 0.9628)
N (0.3664, 0.5779, 0.6437)
N (0.4221, 0.6336, 0.8563)
N (0.5779, 0.3664, 0.1437)
N (0.6336, 0.4221, 0.3563)
N (0.7583, 0.7779, 0.0372)
N (0.7657, 0.8827, 0.8129)
N (0.7779, 0.7583, 0.5372)
N (0.8827, 0.7657, 0.3129)

## Properties
The calculation puts the formation energy from raw total energies at -464 meV/atom. The total energy is -5.630 eV per atom.

(4)
## Y6Ga3Cu (PBE-GGA)

Data for an optimized crystal structure of Y6Ga3Cu.

a b c (Å): 6.1990 8.3626 11.8939
angles (deg): 90.00 120.12 90.00
Fractional positions:
Y (0.0579, 0.1729, 0.4325)
Y (0.0579, 0.3271, 0.9325)
Y (0.3139, 0.6810, 0.4328)
Y (0.3139, 0.8190, 0.9328)
Y (0.3984, 0.0553, 0.2556)
Y (0.3984, 0.4447, 0.7556)
Y (0.6016, 0.5553, 0.2444)
Y (0.6016, 0.9447, 0.7444)
Y (0.6861, 0.1810, 0.0672)
Y (0.6861, 0.3190, 0.5672)
Y (0.9421, 0.6729, 0.0675)
Y (0.9421, 0.8271, 0.5675)
Ga (0.0000, 0.0000, 0.0000)
Ga (0.0000, 0.5000, 0.5000)
Ga (0.1726, 0.1123, 0.7562)
Ga (0.1726, 0.3877, 0.2562)
Ga (0.8274, 0.6123, 0.7438)
Ga (0.8274, 0.8877, 0.2438)
Cu (0.5000, 0.0000, 0.5000)
Cu (0.5000, 0.5000, 0.0000)

## Properties
The value obtained for the formation energy is -305.8 meV/atom. The total energy is -5.502 eV per atom.

(5)
## BaPm4Pt4 (PBE-GGA)

Data for an optimized crystal structure of BaPm4Pt4.

a b c (Å): 9.6527 9.6527 5.8015
angles (deg): 90.00 90.00 90.00
Fractional positions:
Ba (0.2500, 0.2500, 0.2500)
Ba (0.7500, 0.7500, 0.7500)
Pm (0.0941, 0.6403, 0.1728)
Pm (0.1403, 0.9059, 0.6728)
Pm (0.3597, 0.5941, 0.6728)
Pm (0.4059, 0.8597, 0.1728)
Pm (0.5941, 0.1403, 0.8272)
Pm (0.6403, 0.4059, 0.3272)
Pm (0.8597, 0.0941, 0.3272)
Pm (0.9059, 0.3597, 0.8272)
Pt (0.0609, 0.6085, 0.6734)
Pt (0.1085, 0.9391, 0.1734)
Pt (0.3915, 0.5609, 0.1734)
Pt (0.4391, 0.8915, 0.6734)
Pt (0.5609, 0.1085, 0.3266)
Pt (0.6085, 0.4391, 0.8266)
Pt (0.8915, 0.0609, 0.8266)
Pt (0.9391, 0.3915, 0.3266)

## Properties
The value obtained for the formation energy is -952.7 meV/atom. The total energy is -5.963 eV per atom.

(6)
## Ti2AlPd (PBE-GGA)

Data for an optimized crystal structure of Ti2AlPd.

a b c (Å): 3.3967 3.3967 5.5770
angles (deg): 90.00 90.00 90.00
Fractional positions:
Ti (0.0000, 0.0000, 0.2499)
Ti (0.0000, 0.0000, 0.7501)
Al (0.5000, 0.5000, 0.0000)
Pd (0.5000, 0.5000, 0.5000)

## Properties
The value obtained for the formation energy is -397.3 meV/atom. The total energy is -6.579 eV per atom.

Calculated density, record by record: 7.0; 4.0; 3.4; 5.0; 9.2; 5.9 g/cm3